NpCrCdO6 | GGA+U | relaxed

The structure in POSCAR format:
```
NpCrCdO6
1.0
4.924 0.000 0.000
0.000 4.924 0.000
0.000 0.000 9.688
Np Cr Cd O
2 2 2 12
Cartesian
2.462 2.462 8.062
0.000 0.000 3.217
2.462 2.462 1.624
0.000 0.000 6.468
2.462 2.462 4.832
0.000 0.000 9.677
0.869 4.055 4.848
4.055 0.869 4.848
1.593 1.593 0.003
3.331 3.331 0.003
1.026 3.898 1.791
3.898 1.026 1.791
1.436 1.436 6.635
3.488 3.488 6.635
3.905 1.019 7.901
1.019 3.905 7.901
3.481 3.481 3.057
1.443 1.443 3.057
```

- E_tot (eV for the cell shown) = -138.2
- theoretical density (g/cm3) = 7.0